1.
## La2CuSb3Ir4 (GGA-PBE)

Data for a relaxed La2CuSb3Ir4 crystal.

Computed properties:
The space group is No. 115. Its energy relative to the elements, uncorrected is -598 meV per atom.

Cell: 4.384 4.384 10.983 Å, 90.00 90.00 90.00°
Element x y z (fractional)
1 La 0.000 0.500 0.236
2 La 0.500 0.000 0.764
3 Cu 0.500 0.500 0.000
4 Sb 0.000 0.000 0.000
5 Sb 0.000 0.500 0.637
6 Sb 0.500 0.000 0.363
7 Ir 0.000 0.000 0.500
8 Ir 0.000 0.500 0.870
9 Ir 0.500 0.000 0.130
10 Ir 0.500 0.500 0.500

2.
## LaScCuIr (GGA-PBE)

Data for a relaxed LaScCuIr crystal.

Computed properties:
Its formation energy is -0.437 eV per atom. The space group is No. 216.

Cell: 4.882 4.882 4.882 Å, 60.00 60.00 60.00°
Element x y z (fractional)
1 La 0.000 0.000 0.000
2 Sc 0.500 0.500 0.500
3 Cu 0.750 0.750 0.750
4 Ir 0.250 0.250 0.250

3.
## LaCuIrSe2 (GGA-PBE)

Data for a relaxed LaCuIrSe2 crystal.

Computed properties:
The space group is No. 123. Its energy relative to the elements, uncorrected is 1145 meV per atom.

Cell: 5.623 5.623 5.195 Å, 90.00 90.00 90.00°
Element x y z (fractional)
1 La 0.000 0.000 0.000
2 Cu 0.000 0.000 0.500
3 Ir 0.500 0.500 0.500
4 Se 0.000 0.500 0.000
5 Se 0.500 0.000 0.000

4.
## LaSmCuIr (GGA-PBE)

Data for a relaxed LaSmCuIr crystal.

Computed properties:
Its formation energy is -0.490 eV per atom. The space group is No. 38. Its energy above the most stable polymorph in this dataset is 0.00 eV/f.u.

Cell: 4.539 5.631 5.631 Å, 41.14 90.00 90.00°
Element x y z (fractional)
1 La 0.000 0.000 0.000
2 Sm 0.500 0.277 0.277
3 Cu 0.500 0.569 0.569
4 Ir 0.000 0.719 0.719

Please write out number 1 again, unchanged.
## La2CuSb3Ir4 (GGA-PBE)

Data for a relaxed La2CuSb3Ir4 crystal.

Computed properties:
The space group is No. 115. Its energy relative to the elements, uncorrected is -598 meV per atom.

Cell: 4.384 4.384 10.983 Å, 90.00 90.00 90.00°
Element x y z (fractional)
1 La 0.000 0.500 0.236
2 La 0.500 0.000 0.764
3 Cu 0.500 0.500 0.000
4 Sb 0.000 0.000 0.000
5 Sb 0.000 0.500 0.637
6 Sb 0.500 0.000 0.363
7 Ir 0.000 0.000 0.500
8 Ir 0.000 0.500 0.870
9 Ir 0.500 0.000 0.130
10 Ir 0.500 0.500 0.500